Record 1
The following is a PBE calculation of a relaxed Ba2CaOs crystal, from Alexandria via LeMat-Bulk.

**Energy of formation**: 0.42 eV per atom
**Excess energy over the best structure of this formula in the dataset**: 0.000 eV per atom
**M_tot**: 0.00 Bohr magnetons per cell

Cell lengths 5.6517, 5.6517, 8.3867 Å; angles 108.53, 108.53, 42.18 degrees
Closest atoms and distances in Å follow each position.
Element x y z (fractional)
Ba 0.0000 0.0000 0.0000  2 Os 3.09
Ba 0.1529 0.1529 0.5671  2 Os 3.09
Ca 0.3450 0.3450 0.2840  3 Os 3.00-3.07
Os 0.6357 0.6357 0.2836  3 Ca 3.00-3.07, 4 Ba 3.09

Record 2
The following is a PBE calculation of a relaxed BaCaOs2 crystal, from Alexandria via LeMat-Bulk.

**Energy of formation**: 1.16 eV per atom
**Excess energy over the best structure of this formula in the dataset**: 0.984 eV per atom
**M_tot**: 2.01 Bohr magnetons per cell

Cell lengths 3.0598, 3.0598, 9.4900 Å; angles 90.00, 90.00, 90.00 degrees
Closest atoms and distances in Å follow each position.
Element x y z (fractional)
Ba 0.0000 0.0000 0.0000  4 Ba 3.06, 8 Os 3.35
Ca 0.0000 0.0000 0.5000  4 Ca 3.06, 8 Os 3.08
Os 0.5000 0.5000 0.2691  4 Os 3.06, 4 Ca 3.08, 4 Ba 3.35
Os 0.5000 0.5000 0.7309  4 Os 3.06, 4 Ca 3.08, 4 Ba 3.35

Record 3
The following is a PBE calculation of a relaxed BaCaOs2 crystal, from Alexandria via LeMat-Bulk.

**Energy of formation**: 1.31 eV per atom
**Excess energy over the best structure of this formula in the dataset**: 1.134 eV per atom
**M_tot**: 0.15 Bohr magnetons per cell

Cell lengths 5.0491, 5.0491, 5.0491 Å; angles 60.00, 60.00, 60.00 degrees
Closest atoms and distances in Å follow each position.
Element x y z (fractional)
Ba 0.0000 0.0000 0.0000  8 Os 3.09
Ca 0.5000 0.5000 0.5000  8 Os 3.09
Os 0.2500 0.2500 0.2500  4 Ca 3.09, 4 Ba 3.09
Os 0.7500 0.7500 0.7500  4 Ca 3.09, 4 Ba 3.09

Record 4
The following is a PBE calculation of a relaxed BaCaOs2 crystal, from Alexandria via LeMat-Bulk.

**Energy of formation**: 1.21 eV per atom
**Excess energy over the best structure of this formula in the dataset**: 1.031 eV per atom
**M_tot**: 2.03 Bohr magnetons per cell

Cell lengths 4.3172, 4.3172, 4.7550 Å; angles 90.00, 90.00, 90.00 degrees
Closest atoms and distances in Å follow each position.
Element x y z (fractional)
Ba 0.0000 0.0000 0.0000  4 Ca 3.05, 8 Os 3.21
Ca 0.5000 0.5000 0.0000  4 Ba 3.05, 8 Os 3.21
Os 0.0000 0.5000 0.5000  4 Os 3.05, 4 Ba 3.21, 4 Ca 3.21
Os 0.5000 0.0000 0.5000  4 Os 3.05, 4 Ba 3.21, 4 Ca 3.21

Record 5
The following is a PBE calculation of a relaxed BaCaOs2 crystal, from Alexandria via LeMat-Bulk.

**Energy of formation**: 0.18 eV per atom
**Excess energy over the best structure of this formula in the dataset**: 0.000 eV per atom
**M_tot**: 0.52 Bohr magnetons per cell

Cell lengths 4.1789, 4.1789, 8.8862 Å; angles 103.75, 103.75, 60.00 degrees
Closest atoms and distances in Å follow each position.
Element x y z (fractional)
Ba 0.0000 0.0000 0.0000  6 Os 3.34-3.60
Ca 0.8202 0.8202 0.4654  6 Os 3.07-3.31
Os 0.2281 0.2281 0.6872  3 Os 2.44
Os 0.5758 0.5758 0.7299  3 Os 2.44

Record 6
The following is a PBE calculation of a relaxed BaCaOs2 crystal, from Alexandria via LeMat-Bulk.

**Energy of formation**: 1.12 eV per atom
**Excess energy over the best structure of this formula in the dataset**: 0.942 eV per atom
**M_tot**: 0.00 Bohr magnetons per cell

Cell lengths 4.9616, 4.9616, 4.9616 Å; angles 60.00, 60.00, 60.00 degrees
Closest atoms and distances in Å follow each position.
Element x y z (fractional)
Ba 0.0000 0.0000 0.0000  4 Os 3.04, 4 Ca 3.04
Ca 0.2500 0.2500 0.2500  4 Ba 3.04, 4 Os 3.04
Os 0.5000 0.5000 0.5000  4 Ca 3.04, 4 Os 3.04
Os 0.7500 0.7500 0.7500  4 Ba 3.04, 4 Os 3.04

Record 7
The following is a PBE calculation of a relaxed BaCa3Os crystal, from Alexandria via LeMat-Bulk.

**Energy of formation**: 0.28 eV per atom
**Excess energy over the best structure of this formula in the dataset**: 0.000 eV per atom
**M_tot**: 0.94 Bohr magnetons per cell

Cell lengths 5.7080, 5.7080, 5.7080 Å; angles 90.00, 90.00, 90.00 degrees
Closest atoms and distances in Å follow each position.
Element x y z (fractional)
Ba 0.0000 0.0000 0.0000  12 Ca 4.04
Ca 0.0000 0.5000 0.5000  2 Os 2.85
Ca 0.5000 0.0000 0.5000  2 Os 2.85
Ca 0.5000 0.5000 0.0000  2 Os 2.85
Os 0.5000 0.5000 0.5000  6 Ca 2.85

Record 8
The following is a PBE calculation of a relaxed Ba4CaOs crystal, from Alexandria via LeMat-Bulk.

**Energy of formation**: 1.15 eV per atom
**M_tot**: 0.18 Bohr magnetons per cell

Cell lengths 7.0402, 7.0402, 7.0402 Å; angles 60.00, 60.00, 60.00 degrees
Closest atoms and distances in Å follow each position.
Element x y z (fractional)
Ba 0.3773 0.3773 0.3773  6 Ba 3.46-3.58
Ba 0.3773 0.3773 0.8682  6 Ba 3.46-3.58
Ba 0.3773 0.8682 0.3773  6 Ba 3.46-3.58
Ba 0.8682 0.3773 0.3773  6 Ba 3.46-3.58
Ca 0.0000 0.0000 0.0000  12 Ba 4.13, 4 Os 4.31
Os 0.7500 0.7500 0.7500  12 Ba 4.12, 4 Ca 4.31